Entry from Alexandria via LeMat-Bulk: a crystal of SiTe relaxed with PBEsol (meta-GGA SCAN).

* size of the total moment: 0.00 μB/f.u.
* E_form (uncorrected): 0.48 eV/atom
* electronic total energy: -138.94 eV per cell

Unit cell a=6.5156 b=6.5156 c=4.1462 alpha=90.00 beta=90.00 gamma=120.00
With the nearest neighbours (Å) after each atom.
Space group P-62m (No. 189)
One atom of each set of equivalent atoms:
Si 0.0000 0.4109 0.0000 (multiplicity 3)  5 Te 2.68-2.86
Te 0.0000 0.0000 0.0000 (multiplicity 1)  3 Si 2.68
Te 0.3333 0.6667 0.5000 (multiplicity 2)  6 Si 2.86